# 1
# ScAl2Cd, optimized geometry, DFT PBE
# ΔH_f (0 K)   -69 meV per atom
data_ScAl2Cd
_cell_length_a 6.7580
_cell_length_b 6.7580
_cell_length_c 6.7580
_cell_angle_alpha 90.00
_cell_angle_beta 90.00
_cell_angle_gamma 90.00
_symmetry_space_group_name_H-M 'F -4 3 m'
_symmetry_Int_Tables_number 216
_symmetry_space_group_name_Hall 'F -4 2 3'
loop_
_atom_site_label
_atom_site_type_symbol
_atom_site_fract_x
_atom_site_fract_y
_atom_site_fract_z
_atom_site_occupancy
Sc1 Sc 0.0000 0.0000 0.0000 1
Al1 Al 0.0000 0.0000 0.5000 1
Al2 Al 0.2500 0.2500 0.7500 1
Cd1 Cd 0.2500 0.2500 0.2500 1

# 2
# BaHg3Sb, optimized geometry, DFT PBE
# Relative energy among the computed polymorphs   4.547 eV/f.u.
# Uncorrected formation energy   0.49 eV per atom
data_BaHg3Sb
_cell_length_a 6.3733
_cell_length_b 6.3733
_cell_length_c 6.3733
_cell_angle_alpha 90.00
_cell_angle_beta 90.00
_cell_angle_gamma 90.00
_symmetry_space_group_name_H-M 'P m -3 m'
_symmetry_Int_Tables_number 221
_symmetry_space_group_name_Hall '-P 4 2 3'
loop_
_atom_site_label
_atom_site_type_symbol
_atom_site_fract_x
_atom_site_fract_y
_atom_site_fract_z
_atom_site_occupancy
Ba1 Ba 0.0000 0.0000 0.0000 1
Hg1 Hg 0.0000 0.0000 0.5000 1
Sb1 Sb 0.5000 0.5000 0.5000 1

# 3
# Ce2CuAu, optimized geometry, DFT PBE
# ΔH_f (0 K)   -309 meV per atom
data_Ce2CuAu
_cell_length_a 3.7314
_cell_length_b 3.7314
_cell_length_c 6.6044
_cell_angle_alpha 90.00
_cell_angle_beta 90.00
_cell_angle_gamma 90.00
_symmetry_space_group_name_H-M 'P 4/m m m'
_symmetry_Int_Tables_number 123
_symmetry_space_group_name_Hall '-P 4 2'
loop_
_atom_site_label
_atom_site_type_symbol
_atom_site_fract_x
_atom_site_fract_y
_atom_site_fract_z
_atom_site_occupancy
Ce1 Ce 0.0000 0.0000 0.2203 1
Cu1 Cu 0.5000 0.5000 0.0000 1
Au1 Au 0.5000 0.5000 0.5000 1

# 4
# Rb4SnI5, optimized geometry, DFT PBE
# Uncorrected formation energy   -1.13 eV per atom
data_Rb4SnI5
_cell_length_a 11.4685
_cell_length_b 11.4685
_cell_length_c 7.5319
_cell_angle_alpha 90.00
_cell_angle_beta 90.00
_cell_angle_gamma 90.00
_symmetry_space_group_name_H-M 'I 4'
_symmetry_Int_Tables_number 79
loop_
_symmetry_equiv_pos_as_xyz
'x,y,z'
'-y,x,z'
'-x,-y,z'
'y,-x,z'
'x+1/2,y+1/2,z+1/2'
'-y+1/2,x+1/2,z+1/2'
'-x+1/2,-y+1/2,z+1/2'
'y+1/2,-x+1/2,z+1/2'
loop_
_atom_site_label
_atom_site_type_symbol
_atom_site_fract_x
_atom_site_fract_y
_atom_site_fract_z
_atom_site_occupancy
Rb1 Rb 0.0945 0.7054 0.0000 1
Sn1 Sn 0.0000 0.0000 0.4988 1
I1 I 0.0000 0.0000 0.9978 1
I2 I 0.0892 0.7217 0.4997 1

# 5
# La2NiAu, optimized geometry, DFT PBE
# ΔH_f (0 K)   -549 meV per atom
data_La2NiAu
_cell_length_a 6.1016
_cell_length_b 4.5339
_cell_length_c 7.9584
_cell_angle_alpha 90.00
_cell_angle_beta 110.67
_cell_angle_gamma 90.00
_symmetry_space_group_name_H-M 'P 1 21/m 1'
_symmetry_Int_Tables_number 11
loop_
_symmetry_equiv_pos_as_xyz
'x,y,z'
'-x,-y,-z'
'-x,y+1/2,-z'
'x,-y+1/2,z'
loop_
_atom_site_label
_atom_site_type_symbol
_atom_site_fract_x
_atom_site_fract_y
_atom_site_fract_z
_atom_site_occupancy
La1 La 0.2203 0.2500 0.4403 1
La2 La 0.2338 0.2500 0.9217 1
Ni1 Ni 0.3251 0.7500 0.7074 1
Au1 Au 0.3323 0.7500 0.2102 1

# 6
# Sc2ZnTe, optimized geometry, DFT PBE
# Relative energy among the computed polymorphs   0.285 eV/f.u.
# Uncorrected formation energy   -0.55 eV per atom
data_Sc2ZnTe
_cell_length_a 4.0509
_cell_length_b 4.0517
_cell_length_c 5.7430
_cell_angle_alpha 90.00
_cell_angle_beta 90.69
_cell_angle_gamma 90.00
_symmetry_space_group_name_H-M 'P 1 2/m 1'
_symmetry_Int_Tables_number 10
loop_
_symmetry_equiv_pos_as_xyz
'x,y,z'
'-x,-y,-z'
'-x,y,-z'
'x,-y,z'
loop_
_atom_site_label
_atom_site_type_symbol
_atom_site_fract_x
_atom_site_fract_y
_atom_site_fract_z
_atom_site_occupancy
Sc1 Sc 0.0000 0.0000 0.0000 1
Sc2 Sc 0.5000 0.5000 0.5000 1
Zn1 Zn 0.0000 0.0000 0.5000 1
Te1 Te 0.5000 0.5000 0.0000 1

# 7
# KW2Br, optimized geometry, DFT PBE
# Relative energy among the computed polymorphs   2.981 eV/f.u.
# Uncorrected formation energy   1.14 eV per atom
data_KW2Br
_cell_length_a 3.0341
_cell_length_b 4.5943
_cell_length_c 7.7013
_cell_angle_alpha 90.00
_cell_angle_beta 90.00
_cell_angle_gamma 90.00
_symmetry_space_group_name_H-M 'P m m m'
_symmetry_Int_Tables_number 47
loop_
_symmetry_equiv_pos_as_xyz
'x,y,z'
'-x,-y,-z'
'-x,-y,z'
'x,y,-z'
'x,-y,-z'
'-x,y,z'
'-x,y,-z'
'x,-y,z'
loop_
_atom_site_label
_atom_site_type_symbol
_atom_site_fract_x
_atom_site_fract_y
_atom_site_fract_z
_atom_site_occupancy
K1 K 0.0000 0.0000 0.0000 1
W1 W 0.0000 0.5000 0.5000 1
W2 W 0.5000 0.0000 0.5000 1
Br1 Br 0.5000 0.5000 0.0000 1

# 8
# ZnRhPbS2, optimized geometry, DFT PBE
# Uncorrected formation energy   1.06 eV per atom
data_ZnRhPbS2
_cell_length_a 5.1566
_cell_length_b 5.1566
_cell_length_c 5.1650
_cell_angle_alpha 90.00
_cell_angle_beta 90.00
_cell_angle_gamma 90.00
_symmetry_space_group_name_H-M 'P 4/m m m'
_symmetry_Int_Tables_number 123
_symmetry_space_group_name_Hall '-P 4 2'
loop_
_atom_site_label
_atom_site_type_symbol
_atom_site_fract_x
_atom_site_fract_y
_atom_site_fract_z
_atom_site_occupancy
Zn1 Zn 0.0000 0.0000 0.0000 1
Rh1 Rh 0.5000 0.5000 0.0000 1
Pb1 Pb 0.5000 0.5000 0.5000 1
S1 S 0.0000 0.5000 0.5000 1

Results for M_tot: 0.00 1.09 1.50 0.00 0.00 0.00 0.14 0.69 (in μB/f.u., following the order of the records).
Results for total DFT energy (no corrections): -15.01 -4.52 -20.48 -26.91 -21.11 -19.28 -24.10 -15.31 (in eV per formula unit, following the order of the records).